A relaxed structure of Nd3B4Os2. Source: Alexandria, functional PBE.

Structure (CIF):
```
data_Nd3B4Os2
_chemical_formula_sum 'Nd3 B4 Os2'
_space_group_name_H-M_alt 'P 1'
_space_group_IT_number 1
_cell_length_a 6.1941
_cell_length_b 6.1941
_cell_length_c 7.9104
_cell_angle_alpha 116.26
_cell_angle_beta 116.26
_cell_angle_gamma 37.22
loop_
_space_group_symop_operation_xyz
'x,y,z'
loop_
_atom_site_label
_atom_site_type_symbol
_atom_site_fract_x
_atom_site_fract_y
_atom_site_fract_z
Nd1 Nd 0.0000 0.0000 0.0000
Nd2 Nd 0.3622 0.3622 0.2567
Nd3 Nd 0.6378 0.6378 0.7433
B1 B 0.1282 0.1282 0.4036
B2 B 0.3185 0.3185 0.8837
B3 B 0.6815 0.6815 0.1163
B4 B 0.8718 0.8718 0.5964
Os1 Os 0.3210 0.3210 0.6380
Os2 Os 0.6790 0.6790 0.3620
```

As for the density of states at the Fermi level: 0.6904 states/eV per atom. The value obtained for the formation energy is -248 meV/atom.